<one>
CeDy3Ho | PBE-GGA | optimized geometry

a b c (Å): 5.3064 10.9778 10.6972
angles (deg): 90.00 90.05 90.00
Space group C2/m (No. 12)
One atom of each set of equivalent atoms:
Ce 0.0000 0.1230 0.0000 [4 per cell]
Dy 0.0002 0.0000 0.3295 [4 per cell]
Dy 0.0002 0.3469 0.1902 [8 per cell]
Ho 0.0000 0.3440 0.5000 [4 per cell]

Total moment   0.00 μB per atom
D(E_F)   35.9 states/eV per cell

***

<two>
CeDy3Ho | PBE-GGA | optimized geometry

a b c (Å): 16.7127 5.3727 6.9932
angles (deg): 90.00 90.06 90.00
Space group C2/m (No. 12)
One atom of each set of equivalent atoms:
Ce 0.2003 0.0000 0.2492 [4 per cell]
Dy 0.0010 0.0000 0.7502 [4 per cell]
Dy 0.1064 0.5000 0.5001 [4 per cell]
Dy 0.2007 0.0000 0.7500 [4 per cell]
Ho 0.1065 0.5000 0.9990 [4 per cell]

Total moment   0.22 μB per atom
D(E_F)   44.6 states/eV per cell

***

Sorted by energy, starting with the most stable: <two>, <one>.

***

<one>
CeDy7Ho12 | PBE-GGA | optimized geometry

a b c (Å): 11.2451 11.2451 11.2451
angles (deg): 90.00 90.00 90.00
Space group Im-3m (No. 229)
One atom of each set of equivalent atoms:
Ce 0.0000 0.0000 0.0000 [2 per cell]
Dy 0.0000 0.0000 0.5000 [6 per cell]
Dy 0.2500 0.2500 0.2500 [8 per cell]
Ho 0.0000 0.2562 0.2562 [24 per cell]

Total moment   0.07 μB per atom
D(E_F)   63.7 states/eV per cell

***

<two>
CeDy7Ho12 | PBE-GGA | optimized geometry

a b c (Å): 12.2511 12.2511 14.7908
angles (deg): 90.00 90.00 120.00
Space group R-3 (No. 148, hexagonal axes)
One atom of each set of equivalent atoms:
Ce 0.0000 0.0000 0.0000 [3 per cell]
Dy 0.0000 0.0000 0.5000 [3 per cell]
Dy 0.0672 0.8396 0.9007 [18 per cell]
Ho 0.0212 0.4364 0.2120 [18 per cell]
Ho 0.0401 0.1856 0.3108 [18 per cell]

Total moment   0.00 μB per atom
D(E_F)   119.2 states/eV per cell

***

Sorted by energy, starting with the most stable: <two>, <one>.

***

<one>
CeDyHoTh | PBE-GGA | optimized geometry

a b c (Å): 3.5411 3.5411 34.0699
angles (deg): 90.00 90.00 120.00
Space group R3m (No. 160, hexagonal axes)
One atom of each set of equivalent atoms:
Ce 0.0000 0.0000 0.0000 [3 per cell]
Dy 0.0000 0.0000 0.1681 [3 per cell]
Ho 0.0000 0.0000 0.4168 [3 per cell]
Th 0.0000 0.0000 0.5854 [3 per cell]

Total moment   0.01 μB per atom
D(E_F)   23.6 states/eV per cell

***

<two>
CeDyHoTh | PBE-GGA | optimized geometry

a b c (Å): 7.9754 7.9754 7.9754
angles (deg): 90.00 90.00 90.00
Space group F-43m (No. 216)
One atom of each set of equivalent atoms:
Ce 0.0000 0.0000 0.0000 [4 per cell]
Dy 0.2500 0.2500 0.7500 [4 per cell]
Ho 0.0000 0.0000 0.5000 [4 per cell]
Th 0.2500 0.2500 0.2500 [4 per cell]

Total moment   0.67 μB per atom
D(E_F)   47.2 states/eV per cell

***

Sorted by energy, starting with the most stable: <one>, <two>.

***

<one>
CeDyI6 | PBE-GGA | optimized geometry

a b c (Å): 7.6279 14.4270 7.6204
angles (deg): 90.00 107.85 90.00
Space group C2/m (No. 12)
One atom of each set of equivalent atoms:
Ce 0.0000 0.0000 0.0000 [2 per cell]
Dy 0.0000 0.5000 0.5000 [2 per cell]
I 0.2393 0.3516 0.7427 [8 per cell]
I 0.2483 0.5000 0.2563 [4 per cell]

Total moment   0.13 μB per atom
D(E_F)   16.6 states/eV per cell

***

<two>
CeDyI6 | PBE-GGA | optimized geometry

a b c (Å): 7.7455 7.7455 21.1313
angles (deg): 90.00 90.00 120.00
Space group R-3 (No. 148, hexagonal axes)
One atom of each set of equivalent atoms:
Ce 0.0000 0.0000 0.0000 [3 per cell]
Dy 0.0000 0.0000 0.5000 [3 per cell]
I 0.0039 0.6784 0.5817 [18 per cell]

Total moment   0.13 μB per atom
D(E_F)   25.5 states/eV per cell

***

Sorted by energy, starting with the most stable: <one>, <two>.

***

<one>
CeDy2In | PBE-GGA | optimized geometry

a b c (Å): 4.9021 4.9021 4.6879
angles (deg): 90.00 90.00 90.00
Space group P4/mmm (No. 123)
One atom of each set of equivalent atoms:
Ce 0.0000 0.0000 0.0000 [1 per cell]
Dy 0.0000 0.5000 0.5000 [2 per cell]
In 0.5000 0.5000 0.0000 [1 per cell]

Total moment   0.18 μB per atom
D(E_F)   8.1 states/eV per cell

***

<two>
CeDy2In | PBE-GGA | optimized geometry

a b c (Å): 4.7304 4.8302 11.2361
angles (deg): 90.00 101.99 90.00
Space group P2_1/m (No. 11)
One atom of each set of equivalent atoms:
Ce 0.1912 0.2500 0.3862 [2 per cell]
Dy 0.0570 0.7500 0.1151 [2 per cell]
Dy 0.4372 0.7500 0.8728 [2 per cell]
In 0.3409 0.2500 0.6775 [2 per cell]

Total moment   0.27 μB per atom
D(E_F)   20.7 states/eV per cell

***

<three>
CeDy2In | PBE-GGA | optimized geometry

a b c (Å): 3.5422 3.5422 9.0678
angles (deg): 90.00 90.00 90.00
Space group P4/mmm (No. 123)
One atom of each set of equivalent atoms:
Ce 0.0000 0.0000 0.0000 [1 per cell]
Dy 0.5000 0.5000 0.2666 [2 per cell]
In 0.0000 0.0000 0.5000 [1 per cell]

Total moment   0.10 μB per atom
D(E_F)   5.1 states/eV per cell

***

Sorted by energy, starting with the most stable: <one>, <three>, <two>.

***

<one>
CeDy2In | PBE-GGA | optimized geometry

a b c (Å): 7.6274 7.6274 7.6274
angles (deg): 90.00 90.00 90.00
Space group Fm-3m (No. 225)
One atom of each set of equivalent atoms:
Ce 0.0000 0.0000 0.0000 [4 per cell]
Dy 0.2500 0.2500 0.2500 [8 per cell]
In 0.0000 0.0000 0.5000 [4 per cell]

Total moment   0.01 μB per atom
D(E_F)   23.1 states/eV per cell

***

<two>
CeDy2In | PBE-GGA | optimized geometry

a b c (Å): 3.5224 3.5224 32.9721
angles (deg): 90.00 90.00 120.00
Space group R3m (No. 160, hexagonal axes)
One atom of each set of equivalent atoms:
Ce 0.0000 0.0000 0.0000 [3 per cell]
Dy 0.0000 0.0000 0.5789 [3 per cell]
Dy 0.0000 0.0000 0.7549 [3 per cell]
In 0.0000 0.0000 0.1667 [3 per cell]

Total moment   0.30 μB per atom
D(E_F)   21.8 states/eV per cell

***

Sorted by energy, starting with the most stable: <two>, <one>.

***

<one>
CeDy5In4 | PBE-GGA | optimized geometry

a b c (Å): 8.4726 9.1086 8.2985
angles (deg): 90.00 90.00 90.00
Space group Pmmn (No. 59, origin choice 2)
One atom of each set of equivalent atoms:
Ce 0.2500 0.2500 0.1394 [2 per cell]
Dy 0.0214 0.5514 0.2355 [8 per cell]
Dy 0.2500 0.7500 0.5786 [2 per cell]
In 0.0897 0.7500 0.9350 [4 per cell]
In 0.2500 0.0919 0.5032 [4 per cell]

Total moment   0.10 μB per atom
D(E_F)   26.3 states/eV per cell

***

<two>
CeDy5In4 | PBE-GGA | optimized geometry

a b c (Å): 3.5200 3.5200 21.9671
angles (deg): 90.00 90.00 90.00
Space group P4/mmm (No. 123)
One atom of each set of equivalent atoms:
Ce 0.0000 0.0000 0.0000 [1 per cell]
Dy 0.5000 0.5000 0.1111 [2 per cell]
Dy 0.5000 0.5000 0.3055 [2 per cell]
Dy 0.5000 0.5000 0.5000 [1 per cell]
In 0.0000 0.0000 0.2075 [2 per cell]
In 0.0000 0.0000 0.4025 [2 per cell]

Total moment   0.04 μB per atom
D(E_F)   7.6 states/eV per cell

***

Sorted by energy, starting with the most stable: <two>, <one>.

***

<one>
CeDy2In2 | PBE-GGA | optimized geometry

a b c (Å): 5.1455 5.1455 12.5596
angles (deg): 90.00 90.00 120.00
Space group P6_3/mmc (No. 194)
One atom of each set of equivalent atoms:
Ce 0.0000 0.0000 0.2500 [2 per cell]
Dy 0.0000 0.0000 0.0000 [2 per cell]
Dy 0.3333 0.6667 0.2500 [2 per cell]
In 0.3333 0.6667 0.6268 [4 per cell]

Total moment   0.00 μB per atom
D(E_F)   11.6 states/eV per cell

***

<two>
CeDy2In2 | PBE-GGA | optimized geometry

a b c (Å): 5.2879 5.2879 6.4716
angles (deg): 90.00 90.00 120.00
Space group P-3m1 (No. 164)
One atom of each set of equivalent atoms:
Ce 0.0000 0.0000 0.0000 [1 per cell]
Dy 0.3333 0.6667 0.6602 [2 per cell]
In 0.3333 0.6667 0.1800 [2 per cell]

Total moment   0.17 μB per atom
D(E_F)   10.9 states/eV per cell

***

Sorted by energy, starting with the most stable: <two>, <one>.

***

<one>
CeDyIn6 | PBE-GGA | optimized geometry

a b c (Å): 4.6768 4.6768 9.3351
angles (deg): 90.00 90.00 90.00
Space group P4/mmm (No. 123)
One atom of each set of equivalent atoms:
Ce 0.0000 0.0000 0.0000 [1 per cell]
Dy 0.0000 0.0000 0.5000 [1 per cell]
In 0.0000 0.5000 0.2529 [4 per cell]
In 0.5000 0.5000 0.0000 [1 per cell]
In 0.5000 0.5000 0.5000 [1 per cell]

Total moment   0.09 μB per atom
D(E_F)   7.5 states/eV per cell

***

<two>
CeDyIn6 | PBE-GGA | optimized geometry

a b c (Å): 6.6960 6.6960 5.2750
angles (deg): 90.00 90.00 120.00
Space group P-6m2 (No. 187)
One atom of each set of equivalent atoms:
Ce 0.0000 0.0000 0.0000 [1 per cell]
Dy 0.3333 0.6667 0.5000 [1 per cell]
In 0.3485 0.1742 0.5000 [3 per cell]
In 0.5049 0.0099 0.0000 [3 per cell]

Total moment   0.10 μB per atom
D(E_F)   8.6 states/eV per cell

***

Sorted by energy, starting with the most stable: <one>, <two>.

***

<one>
CeDyInOs | PBE-GGA | optimized geometry

a b c (Å): 7.2129 7.2129 7.2129
angles (deg): 90.00 90.00 90.00
Space group F-43m (No. 216)
One atom of each set of equivalent atoms:
Ce 0.0000 0.0000 0.0000 [4 per cell]
Dy 0.0000 0.0000 0.5000 [4 per cell]
In 0.2500 0.2500 0.2500 [4 per cell]
Os 0.2500 0.2500 0.7500 [4 per cell]

Total moment   0.09 μB per atom
D(E_F)   21.8 states/eV per cell

***

<two>
CeDyInOs | PBE-GGA | optimized geometry

a b c (Å): 3.3543 3.3543 8.4963
angles (deg): 90.00 90.00 90.00
Space group P4mm (No. 99)
One atom of each set of equivalent atoms:
Ce 0.0000 0.0000 0.0000 [1 per cell]
Dy 0.0000 0.0000 0.4107 [1 per cell]
In 0.5000 0.5000 0.6994 [1 per cell]
Os 0.5000 0.5000 0.2062 [1 per cell]

Total moment   0.05 μB per atom
D(E_F)   3.6 states/eV per cell

***

Sorted by energy, starting with the most stable: <two>, <one>.

***

<one>
CeDyInPb | PBE-GGA | optimized geometry

a b c (Å): 7.7062 7.7062 7.7062
angles (deg): 90.00 90.00 90.00
Space group F-43m (No. 216)
One atom of each set of equivalent atoms:
Ce 0.0000 0.0000 0.0000 [4 per cell]
Dy 0.0000 0.0000 0.5000 [4 per cell]
In 0.2500 0.2500 0.7500 [4 per cell]
Pb 0.2500 0.2500 0.2500 [4 per cell]

Total moment   0.28 μB per atom
D(E_F)   34.1 states/eV per cell

***

<two>
CeDyInPb | PBE-GGA | optimized geometry

a b c (Å): 5.0213 5.0213 8.9224
angles (deg): 90.00 90.00 90.00
Space group I-4m2 (No. 119)
One atom of each set of equivalent atoms:
Ce 0.0000 0.0000 0.0000 [2 per cell]
Dy 0.0000 0.0000 0.5000 [2 per cell]
In 0.0000 0.5000 0.7500 [2 per cell]
Pb 0.0000 0.5000 0.2500 [2 per cell]

Total moment   0.33 μB per atom
D(E_F)   17.3 states/eV per cell

***

Sorted by energy, starting with the most stable: <two>, <one>.

***

<one>
CeDyInRu | PBE-GGA | optimized geometry

a b c (Å): 3.3695 3.3695 8.3871
angles (deg): 90.00 90.00 90.00
Space group P4mm (No. 99)
One atom of each set of equivalent atoms:
Ce 0.0000 0.0000 0.0000 [1 per cell]
Dy 0.0000 0.0000 0.5884 [1 per cell]
In 0.5000 0.5000 0.3000 [1 per cell]
Ru 0.5000 0.5000 0.7944 [1 per cell]

Total moment   0.11 μB per atom
D(E_F)   3.8 states/eV per cell

***

<two>
CeDyInRu | PBE-GGA | optimized geometry

a b c (Å): 7.2391 7.2391 7.2391
angles (deg): 90.00 90.00 90.00
Space group F-43m (No. 216)
One atom of each set of equivalent atoms:
Ce 0.0000 0.0000 0.0000 [4 per cell]
Dy 0.0000 0.0000 0.5000 [4 per cell]
In 0.2500 0.2500 0.2500 [4 per cell]
Ru 0.2500 0.2500 0.7500 [4 per cell]

Total moment   0.12 μB per atom
D(E_F)   23.9 states/eV per cell

***

Sorted by energy, starting with the most stable: <one>, <two>.